Record 1
## ThAsN (GGA-PBE)

Data for ThAsN after structural relaxation.

Cell: 3.360 3.360 11.397 Å, 90.00 90.00 90.00°
Fractional coordinates of all 6 atoms:
1 Th 0.000 0.000 0.000
2 Th 0.500 0.500 0.500
3 As 0.000 0.000 0.286
4 As 0.500 0.500 0.786
5 N 0.000 0.000 0.543
6 N 0.500 0.500 0.043

Summary:
Density in g/cm3: 8.284
Offset from the most stable computed form in eV per atom: 0.726
Raw total energy in eV for the cell shown: -44.4
Formation energy without anion corrections in eV/atom: -0.60

***

Record 2
## ThTiAs2N (GGA-PBE)

Data for ThTiAs2N after structural relaxation.

Cell: 3.868 3.868 13.553 Å, 90.00 90.00 90.00°
Fractional coordinates of all 10 atoms:
1 Th 0.250 0.250 0.093
2 Th 0.750 0.750 0.907
3 Ti 0.250 0.250 0.585
4 Ti 0.750 0.750 0.415
5 As 0.250 0.250 0.393
6 As 0.250 0.250 0.766
7 As 0.750 0.750 0.234
8 As 0.750 0.750 0.607
9 N 0.250 0.750 0.000
10 N 0.750 0.250 0.000

Summary:
Density in g/cm3: 7.268
Raw total energy in eV for the cell shown: -75.1
Formation energy without anion corrections in eV/atom: -0.93

***

Record 3
## ThUAsN2 (GGA-PBE)

Data for ThUAsN2 after structural relaxation.

Cell: 3.858 3.858 12.309 Å, 90.00 90.00 90.00°
Fractional coordinates of all 10 atoms:
1 Th 0.000 0.000 0.000
2 Th 0.500 0.500 0.500
3 U 0.000 0.000 0.301
4 U 0.500 0.500 0.801
5 As 0.000 0.000 0.651
6 As 0.500 0.500 0.151
7 N 0.000 0.500 0.388
8 N 0.000 0.500 0.888
9 N 0.500 0.000 0.388
10 N 0.500 0.000 0.888

Summary:
Density in g/cm3: 10.385
Raw total energy in eV for the cell shown: -94.4
Formation energy without anion corrections in eV/atom: -1.44

***

Record 4
## YThAsN (GGA-PBE)

Data for YThAsN after structural relaxation.

Cell: 4.402 4.402 9.230 Å, 90.00 90.00 90.00°
Fractional coordinates of all 8 atoms:
1 Y 0.250 0.750 0.000
2 Y 0.750 0.250 0.000
3 Th 0.250 0.250 0.391
4 Th 0.750 0.750 0.609
5 As 0.250 0.250 0.803
6 As 0.750 0.750 0.197
7 N 0.250 0.750 0.500
8 N 0.750 0.250 0.500

Summary:
Density in g/cm3: 7.611
Raw total energy in eV for the cell shown: -63.7
Formation energy without anion corrections in eV/atom: -1.25

***

Record 5
## ThZrAsN (GGA-PBE)

Data for ThZrAsN after structural relaxation.

Cell: 4.268 4.268 9.143 Å, 90.00 90.00 90.00°
Fractional coordinates of all 8 atoms:
1 Th 0.250 0.250 0.117
2 Th 0.750 0.750 0.883
3 Zr 0.250 0.750 0.500
4 Zr 0.750 0.250 0.500
5 As 0.250 0.250 0.687
6 As 0.750 0.750 0.313
7 N 0.250 0.750 0.000
8 N 0.750 0.250 0.000

Summary:
Density in g/cm3: 8.218
Raw total energy in eV for the cell shown: -68.3
Formation energy without anion corrections in eV/atom: -1.30

***

Record 6
## Ti5As3N (GGA-PBE)

Data for Ti5As3N after structural relaxation.

Cell: 7.432 7.432 5.375 Å, 90.00 90.00 120.00°
Fractional coordinates of all 18 atoms:
1 Ti 0.000 0.224 0.250
2 Ti 0.000 0.776 0.750
3 Ti 0.224 0.000 0.250
4 Ti 0.224 0.224 0.750
5 Ti 0.333 0.667 0.000
6 Ti 0.333 0.667 0.500
7 Ti 0.667 0.333 0.000
8 Ti 0.667 0.333 0.500
9 Ti 0.776 0.000 0.750
10 Ti 0.776 0.776 0.250
11 As 0.000 0.405 0.750
12 As 0.000 0.595 0.250
13 As 0.405 0.000 0.750
14 As 0.405 0.405 0.250
15 As 0.595 0.000 0.250
16 As 0.595 0.595 0.750
17 N 0.000 0.000 0.000
18 N 0.000 0.000 0.500

Summary:
Density in g/cm3: 6.175
Raw total energy in eV for the cell shown: -143.3
Formation energy without anion corrections in eV/atom: -1.10